Entry 1:
The following is a PBE calculation of a geometry-optimized BaMg2W structure, from Alexandria.

Cell and atoms, written as CIF:
```
data_BaMg2W
_chemical_formula_sum 'Ba1 Mg2 W1'
_cell_length_a 4.830
_cell_length_b 4.718
_cell_length_c 4.718
_cell_angle_alpha 90.00
_cell_angle_beta 90.00
_cell_angle_gamma 90.00
_space_group_name_H-M_alt 'P 1'
_space_group_IT_number 1
_space_group_name_Hall 'P 1'
loop_
_atom_site_label
_atom_site_type_symbol
_atom_site_fract_x
_atom_site_fract_y
_atom_site_fract_z
Ba1 Ba 0.500 0.000 0.500
W1 W 0.500 0.500 0.000
Mg1 Mg 0.000 0.500 0.500
Mg2 Mg 0.000 0.000 0.000
```

## Properties
Energy relative to the lowest polymorph listed for this composition in eV/atom: 0.443
Formation enthalpy at 0 K in kcal/mol of atoms: 24.469
SG: P4/mmm


Entry 2:
The following is a PBE calculation of a geometry-optimized Al2Ag2GeS6 structure, from Alexandria.

Cell and atoms, written as CIF:
```
data_Al2Ag2GeS6
_chemical_formula_sum 'Al2 Ag2 Ge1 S6'
_cell_length_a 6.096
_cell_length_b 6.096
_cell_length_c 7.408
_cell_angle_alpha 85.26
_cell_angle_beta 85.26
_cell_angle_gamma 119.73
_space_group_name_H-M_alt 'P 1'
_space_group_IT_number 1
_space_group_name_Hall 'P 1'
loop_
_atom_site_label
_atom_site_type_symbol
_atom_site_fract_x
_atom_site_fract_y
_atom_site_fract_z
Al1 Al 0.342 0.658 0.500
Al2 Al 0.658 0.342 0.500
S1 S 0.362 0.362 0.316
S2 S 0.299 0.961 0.680
S3 S 0.961 0.299 0.680
S4 S 0.039 0.701 0.320
S5 S 0.701 0.039 0.320
S6 S 0.638 0.638 0.684
Ag1 Ag 0.835 0.165 0.000
Ag2 Ag 0.165 0.835 0.000
Ge1 Ge 0.000 0.000 0.500
```

## Properties
Raw formation energy in meV/atom: -560
SG: C2/m